(1)
Compound: PrZr2Nb
Source: the Alexandria database
Functional: PBE
Structure: relaxed

Polymorph energy (0 for the lowest one): 0 meV per atom
ΔH_f (0 K): 131 meV per atom
Calculated volume: 24.61 Å³/atom
Final energy: -31.42 eV for the cell shown
SG: P4/mmm
M_tot: 0.00 μB per cell

Cell: 3.533 3.533 7.886 Å, 90.00 90.00 90.00°
Fractional coordinates of all 4 atoms:
Pr: 0.000 0.000 0.000
Zr: 0.500 0.500 0.300
Zr: 0.500 0.500 0.700
Nb: 0.000 0.000 0.500

(2)
Compound: SrLaNi2Sb2
Source: the Alexandria database
Functional: PBE
Structure: relaxed

ΔE_f (raw): -75.0 kJ per mole of atoms
Calculated volume: 24.87 Å³/atom
Final energy: -31.08 eV for the cell shown
SG: P-3m1
M_tot: 0.00 μB per cell

Cell: 4.390 4.390 8.943 Å, 90.00 90.00 120.00°
Fractional coordinates of all 6 atoms:
Sr: 0.000 0.000 0.000
La: 0.000 0.000 0.500
Ni: 0.333 0.667 0.729
Ni: 0.667 0.333 0.271
Sb: 0.333 0.667 0.255
Sb: 0.667 0.333 0.745

(3)
Compound: Ba3Mg2Ag4
Source: the Alexandria database
Functional: PBE
Structure: relaxed

ΔH_f (0 K): -225 meV per atom
Calculated volume: 31.35 Å³/atom
Final energy: -22.39 eV for the cell shown
SG: C2/m
M_tot: 0.00 μB per cell

Cell: 6.721 6.721 9.681 Å, 108.46 108.46 43.33°
Fractional coordinates of all 9 atoms:
Ba: 0.000 0.000 0.000
Ba: 0.372 0.372 0.304
Ba: 0.628 0.628 0.696
Mg: 0.322 0.322 0.653
Mg: 0.678 0.678 0.347
Ag: 0.094 0.094 0.423
Ag: 0.276 0.276 0.930
Ag: 0.724 0.724 0.070
Ag: 0.906 0.906 0.577

(4)
Compound: Sm2TlO
Source: the Alexandria database
Functional: PBE
Structure: relaxed

Polymorph energy (0 for the lowest one): 52 meV per atom
ΔE_f (raw): -147.4 kJ per mole of atoms
Calculated volume: 22.77 Å³/atom
Final energy: -68.63 eV for the cell shown
SG: R-3m
M_tot: 0.00 μB per cell

Cell: 3.667 3.667 23.465 Å, 90.00 90.00 120.00°
Fractional coordinates of all 12 atoms:
Sm: 0.000 0.000 0.223
Sm: 0.000 0.000 0.777
Sm: 0.333 0.667 0.443
Sm: 0.333 0.667 0.890
Sm: 0.667 0.333 0.110
Sm: 0.667 0.333 0.557
Tl: 0.000 0.000 0.000
Tl: 0.333 0.667 0.667
Tl: 0.667 0.333 0.333
O: 0.000 0.000 0.500
O: 0.333 0.667 0.167
O: 0.667 0.333 0.833

(5)
Compound: TbSm5P6
Source: the Alexandria database
Functional: PBE
Structure: relaxed

ΔH_f (0 K): -1578 meV per atom
Calculated volume: 24.28 Å³/atom
Final energy: -79.62 eV for the cell shown
SG: C2/m
M_tot: 0.00 μB per cell

Cell: 7.093 7.093 7.092 Å, 99.60 99.60 119.98°
Fractional coordinates of all 12 atoms:
Tb: 0.000 0.000 0.000
Sm: 0.167 0.833 0.500
Sm: 0.333 0.667 0.000
Sm: 0.500 0.500 0.500
Sm: 0.667 0.333 0.000
Sm: 0.833 0.167 0.500
P: 0.083 0.414 0.248
P: 0.248 0.248 0.751
P: 0.414 0.083 0.248
P: 0.586 0.917 0.752
P: 0.752 0.752 0.249
P: 0.917 0.586 0.752

(6)
Compound: Sn2Se3S
Source: the Alexandria database
Functional: PBE
Structure: relaxed

ΔE_f (raw): -33.8 kJ per mole of atoms
Calculated volume: 29.45 Å³/atom
Final energy: -49.38 eV for the cell shown
SG: R-3m
M_tot: 0.00 μB per cell

Cell: 8.252 8.252 8.252 Å, 55.23 55.23 55.23°
Fractional coordinates of all 12 atoms:
Sn: 0.000 0.000 0.000
Sn: 0.000 0.500 0.500
Sn: 0.500 0.000 0.500
Sn: 0.500 0.500 0.000
Se: 0.243 0.243 0.745
Se: 0.243 0.745 0.243
Se: 0.255 0.757 0.757
Se: 0.745 0.243 0.243
Se: 0.757 0.255 0.757
Se: 0.757 0.757 0.255
S: 0.265 0.265 0.265
S: 0.735 0.735 0.735

(7)
Compound: BaNaAgO2
Source: the Alexandria database
Functional: PBE
Structure: relaxed

ΔE_f (raw): -136.1 kJ per mole of atoms
Calculated volume: 18.80 Å³/atom
Final energy: -46.13 eV for the cell shown
SG: P2/c
M_tot: 0.00 μB per cell

Cell: 6.250 4.517 6.787 Å, 90.00 101.14 90.00°
Fractional coordinates of all 10 atoms:
Ba: 0.000 0.248 0.250
Ba: 0.000 0.752 0.750
Na: 0.500 0.484 0.750
Na: 0.500 0.516 0.250
Ag: 0.500 0.000 0.000
Ag: 0.500 0.000 0.500
O: 0.240 0.294 0.955
O: 0.240 0.706 0.455
O: 0.760 0.294 0.545
O: 0.760 0.706 0.045

(8)
Compound: Sm8Co3RuCl4
Source: the Alexandria database
Functional: PBE
Structure: relaxed

ΔE_f (raw): -82.1 kJ per mole of atoms
Calculated volume: 25.00 Å³/atom
Final energy: -89.34 eV for the cell shown
SG: R-3m
M_tot: 0.00 μB per cell

Cell: 8.792 8.792 8.792 Å, 52.86 52.86 52.86°
Fractional coordinates of all 16 atoms:
Sm: 0.231 0.737 0.737
Sm: 0.232 0.232 0.232
Sm: 0.263 0.263 0.769
Sm: 0.263 0.769 0.263
Sm: 0.737 0.231 0.737
Sm: 0.737 0.737 0.231
Sm: 0.768 0.768 0.768
Sm: 0.769 0.263 0.263
Co: 0.000 0.000 0.500
Co: 0.000 0.500 0.000
Co: 0.500 0.000 0.000
Ru: 0.500 0.500 0.500
Cl: 0.000 0.000 0.000
Cl: 0.000 0.500 0.500
Cl: 0.500 0.000 0.500
Cl: 0.500 0.500 0.000

(9)
Compound: InHgBr2
Source: the Alexandria database
Functional: PBE
Structure: relaxed

Polymorph energy (0 for the lowest one): 50 meV per atom
ΔE_f (raw): -49.6 kJ per mole of atoms
Calculated volume: 37.73 Å³/atom
Final energy: -16.88 eV for the cell shown
SG: P1
M_tot: 0.00 μB per cell

Cell: 6.352 7.116 7.714 Å, 68.80 88.70 69.29°
Fractional coordinates of all 8 atoms:
In: 0.000 0.000 0.000
In: 0.364 0.240 0.471
Hg: 0.680 0.744 0.591
Hg: 0.875 0.679 0.966
Br: 0.195 0.754 0.361
Br: 0.353 0.107 0.909
Br: 0.732 0.316 0.104
Br: 0.815 0.237 0.625

(10)
Compound: YIn2As
Source: the Alexandria database
Functional: PBE
Structure: relaxed

ΔH_f (0 K): -256 meV per atom
Calculated volume: 24.39 Å³/atom
Final energy: -17.62 eV for the cell shown
SG: P4/mmm
M_tot: 0.11 μB per cell

Cell: 3.858 3.858 6.553 Å, 90.00 90.00 90.00°
Fractional coordinates of all 4 atoms:
Y: 0.000 0.000 0.000
In: 0.500 0.500 0.278
In: 0.500 0.500 0.722
As: 0.000 0.000 0.500

(11)
Compound: TaAg2Br
Source: the Alexandria database
Functional: PBE
Structure: relaxed

Polymorph energy (0 for the lowest one): 567 meV per atom
ΔE_f (raw): 75.1 kJ per mole of atoms
Calculated volume: 21.03 Å³/atom
Final energy: -64.46 eV for the cell shown
SG: I-42d
M_tot: 0.00 μB per cell

Cell: 7.959 7.959 5.312 Å, 90.00 90.00 90.00°
Fractional coordinates of all 16 atoms:
Ta: 0.000 0.000 0.000
Ta: 0.000 0.500 0.250
Ta: 0.500 0.000 0.750
Ta: 0.500 0.500 0.500
Ag: 0.236 0.250 0.125
Ag: 0.250 0.736 0.375
Ag: 0.250 0.764 0.875
Ag: 0.264 0.250 0.625
Ag: 0.736 0.750 0.625
Ag: 0.750 0.236 0.875
Ag: 0.750 0.264 0.375
Ag: 0.764 0.750 0.125
Br: 0.000 0.000 0.500
Br: 0.000 0.500 0.750
Br: 0.500 0.000 0.250
Br: 0.500 0.500 0.000

(12)
Compound: MnAlPb4
Source: the Alexandria database
Functional: PBE
Structure: relaxed

ΔH_f (0 K): 636 meV per atom
Calculated volume: 30.83 Å³/atom
Final energy: -23.93 eV for the cell shown
SG: F-43m
M_tot: 4.50 μB per cell

Cell: 6.395 6.395 6.395 Å, 60.00 60.00 60.00°
Fractional coordinates of all 6 atoms:
Mn: 0.000 0.000 0.000
Al: 0.250 0.250 0.250
Pb: 0.124 0.625 0.625
Pb: 0.625 0.124 0.625
Pb: 0.625 0.625 0.124
Pb: 0.625 0.625 0.625

(13)
Compound: K2HfAlSb
Source: the Alexandria database
Functional: PBE
Structure: relaxed

ΔE_f (raw): 82.1 kJ per mole of atoms
Calculated volume: 37.05 Å³/atom
Final energy: -15.76 eV for the cell shown
SG: P4/mmm
M_tot: 0.00 μB per cell

Cell: 5.860 5.860 5.396 Å, 90.00 90.00 90.00°
Fractional coordinates of all 5 atoms:
K: 0.000 0.500 0.000
K: 0.500 0.000 0.000
Hf: 0.000 0.000 0.500
Al: 0.000 0.000 0.000
Sb: 0.500 0.500 0.500

(14)
Compound: LaYThMg
Source: the Alexandria database
Functional: PBE
Structure: relaxed

Polymorph energy (0 for the lowest one): 201 meV per atom
ΔH_f (0 K): 147 meV per atom
Calculated volume: 31.45 Å³/atom
Final energy: -79.28 eV for the cell shown
SG: F-43m
M_tot: 0.03 μB per cell

Cell: 7.954 7.954 7.954 Å, 90.00 90.00 90.00°
Fractional coordinates of all 16 atoms:
La: 0.000 0.000 0.000
La: 0.000 0.500 0.500
La: 0.500 0.000 0.500
La: 0.500 0.500 0.000
Y: 0.000 0.000 0.500
Y: 0.000 0.500 0.000
Y: 0.500 0.000 0.000
Y: 0.500 0.500 0.500
Th: 0.250 0.250 0.750
Th: 0.250 0.750 0.250
Th: 0.750 0.250 0.250
Th: 0.750 0.750 0.750
Mg: 0.250 0.250 0.250
Mg: 0.250 0.750 0.750
Mg: 0.750 0.250 0.750
Mg: 0.750 0.750 0.250

(15)
Compound: SrRuBr3
Source: the Alexandria database
Functional: PBE
Structure: relaxed

Polymorph energy (0 for the lowest one): 0 meV per atom
ΔE_f (raw): -62.2 kJ per mole of atoms
Calculated volume: 26.86 Å³/atom
Final energy: -19.20 eV for the cell shown
SG: Pm-3m
M_tot: 0.00 μB per cell

Cell: 5.121 5.121 5.121 Å, 90.00 90.00 90.00°
Fractional coordinates of all 5 atoms:
Sr: 0.000 0.000 0.000
Ru: 0.500 0.500 0.500
Br: 0.000 0.500 0.500
Br: 0.500 0.000 0.500
Br: 0.500 0.500 0.000

(16)
Compound: MnCr2Mo
Source: the Alexandria database
Functional: PBE
Structure: relaxed

Polymorph energy (0 for the lowest one): 150 meV per atom
ΔH_f (0 K): 239 meV per atom
Calculated volume: 12.71 Å³/atom
Final energy: -38.29 eV for the cell shown
SG: P4/mmm
M_tot: 0.00 μB per cell

Cell: 2.607 2.607 7.478 Å, 90.00 90.00 90.00°
Fractional coordinates of all 4 atoms:
Mn: 0.000 0.000 0.000
Cr: 0.500 0.500 0.214
Cr: 0.500 0.500 0.786
Mo: 0.000 0.000 0.500

(17)
Compound: LiHgPtCl6
Source: the Alexandria database
Functional: PBE
Structure: relaxed

ΔE_f (raw): -69.3 kJ per mole of atoms
Calculated volume: 25.06 Å³/atom
Final energy: -51.60 eV for the cell shown
SG: P4_2nm
M_tot: 0.00 μB per cell

Cell: 6.379 6.379 11.089 Å, 90.00 90.00 90.00°
Fractional coordinates of all 18 atoms:
Li: 0.000 0.000 0.000
Li: 0.500 0.500 0.500
Hg: 0.000 0.000 0.680
Hg: 0.500 0.500 0.180
Pt: 0.000 0.000 0.333
Pt: 0.500 0.500 0.833
Cl: 0.173 0.173 0.175
Cl: 0.179 0.179 0.485
Cl: 0.207 0.207 0.838
Cl: 0.293 0.707 0.338
Cl: 0.321 0.679 0.985
Cl: 0.327 0.673 0.675
Cl: 0.673 0.327 0.675
Cl: 0.679 0.321 0.985
Cl: 0.707 0.293 0.338
Cl: 0.793 0.793 0.838
Cl: 0.821 0.821 0.485
Cl: 0.827 0.827 0.175

(18)
Compound: Rb3Tl2Au3
Source: the Alexandria database
Functional: PBE
Structure: relaxed

Polymorph energy (0 for the lowest one): 0 meV per atom
ΔH_f (0 K): -241 meV per atom
Calculated volume: 35.99 Å³/atom
Final energy: -77.57 eV for the cell shown
SG: Pnma
M_tot: 0.00 μB per cell

Cell: 9.317 17.004 7.270 Å, 90.00 90.00 90.00°
Fractional coordinates of all 32 atoms:
Rb: 0.026 0.106 0.138
Rb: 0.026 0.394 0.138
Rb: 0.184 0.250 0.590
Rb: 0.316 0.750 0.090
Rb: 0.474 0.606 0.638
Rb: 0.474 0.894 0.638
Rb: 0.526 0.106 0.362
Rb: 0.526 0.394 0.362
Rb: 0.684 0.250 0.910
Rb: 0.816 0.750 0.410
Rb: 0.974 0.606 0.862
Rb: 0.974 0.894 0.862
Tl: 0.118 0.595 0.382
Tl: 0.118 0.905 0.382
Tl: 0.382 0.095 0.882
Tl: 0.382 0.405 0.882
Tl: 0.618 0.595 0.118
Tl: 0.618 0.905 0.118
Tl: 0.882 0.095 0.618
Tl: 0.882 0.405 0.618
Au: 0.182 0.040 0.614
Au: 0.182 0.460 0.614
Au: 0.182 0.750 0.569
Au: 0.318 0.250 0.069
Au: 0.318 0.540 0.114
Au: 0.318 0.960 0.114
Au: 0.682 0.040 0.886
Au: 0.682 0.460 0.886
Au: 0.682 0.750 0.931
Au: 0.818 0.250 0.431
Au: 0.818 0.540 0.386
Au: 0.818 0.960 0.386